This record from Alexandria describes an optimized crystal structure of Y3GaMo. The functional is GGA-PBEsol.

a = 5.193 Å, b = 5.193 Å, c = 5.193 Å
α = 90.00°, β = 90.00°, γ = 90.00°
Fractional coordinates of all 5 atoms:
Ga: 0.500 0.500 0.500
Y: 0.000 0.500 0.000
Y: 0.500 0.000 0.000
Y: 0.000 0.000 0.500
Mo: 0.000 0.000 0.000

Results
total DFT energy (no corrections)	-6.64	eV/atom
total magnetization	0.0000	μB per atom
ΔH_f (0 K)	0.471	eV per atom